A plane-wave DFT calculation with meta-GGA SCAN was carried out for a PBEsol-optimized structure of Ba2CaMg.

Lattice parameters (Å, degrees): 4.3608 4.3571 9.4166 90.00 90.00 90.00
Positions (direct):
Ba (0.0000, 0.0000, 0.2162)
Ba (0.0000, 0.0000, 0.7839)
Mg (0.5000, 0.5000, 0.0000)
Ca (0.5000, 0.5000, 0.5000)

## Properties
Calculated density (g cm⁻³): 3.15
Formation energy (eV per formula unit): -0.017
Symmetry: P4/mmm, No. 123